Here is LaBeCl2 after structural relaxation from Alexandria. Energies are from GGA-PBE. Values from VASP.

- distance to the lowest polymorph of the same formula (eV per atom) = 0.527
- symmetry = F-43m
- M_tot (μB/atom) = 0.14

```
&SYSTEM
  ibrav = 0, nat = 4, ntyp = 3
/
ATOMIC_SPECIES
La 138.91 La.upf
Be 9.01 Be.upf
Cl 35.45 Cl.upf
ATOMIC_POSITIONS angstrom
La 0.000 0.000 0.000
Be 1.788 1.788 1.788
Cl 3.576 3.576 3.576
Cl 5.364 5.364 5.364
CELL_PARAMETERS angstrom
0.000 3.576 3.576
3.576 0.000 3.576
3.576 3.576 0.000
```

---

Here is LaBe2Cl after structural relaxation from Alexandria. Energies are from GGA-PBE. Values from VASP.

- distance to the lowest polymorph of the same formula (eV per atom) = 0.341
- symmetry = Immm
- M_tot (μB/atom) = 0.00

```
&SYSTEM
  ibrav = 0, nat = 4, ntyp = 3
/
ATOMIC_SPECIES
La 138.91 La.upf
Be 9.01 Be.upf
Cl 35.45 Cl.upf
ATOMIC_POSITIONS angstrom
La 0.000 0.000 0.000
Be 1.828 0.000 2.667
Be 0.000 2.075 2.655
Cl 0.000 0.000 5.322
CELL_PARAMETERS angstrom
-1.828 2.075 5.322
1.828 -2.075 5.322
1.828 2.075 -5.322
```

---

Here is La5BeCl5 after structural relaxation from Alexandria. Energies are from GGA-PBE. Values from VASP.

- final energy (eV per atom) = -4.85
- symmetry = C2/m
- M_tot (μB/atom) = 0.00

```
&SYSTEM
  ibrav = 0, nat = 11, ntyp = 3
/
ATOMIC_SPECIES
La 138.91 La.upf
Be 9.01 Be.upf
Cl 35.45 Cl.upf
ATOMIC_POSITIONS angstrom
La 0.000 0.000 0.000
La 3.820 0.000 1.235
La 2.536 0.000 5.461
La 7.657 0.000 2.570
La 6.373 0.000 6.796
Be 6.453 0.000 0.000
Cl 1.074 0.000 2.771
Cl -0.189 0.000 6.512
Cl 5.096 0.000 4.016
Cl 10.382 0.000 1.519
Cl 9.119 0.000 5.260
CELL_PARAMETERS angstrom
6.453 -2.909 0.000
6.453 2.909 0.000
-2.713 0.000 8.031
```

---

Here is LaBeCl2 after structural relaxation from Alexandria. Energies are from GGA-PBE. Values from VASP.

- distance to the lowest polymorph of the same formula (eV per atom) = 0.277
- symmetry = Imm2
- M_tot (μB/atom) = 0.00

```
&SYSTEM
  ibrav = 0, nat = 4, ntyp = 3
/
ATOMIC_SPECIES
La 138.91 La.upf
Be 9.01 Be.upf
Cl 35.45 Cl.upf
ATOMIC_POSITIONS angstrom
La 0.000 0.000 0.000
Be 0.000 2.234 2.768
Cl 1.885 0.000 2.290
Cl 0.000 0.000 5.266
CELL_PARAMETERS angstrom
-1.885 2.234 5.495
1.885 -2.234 5.495
1.885 2.234 -5.495
```

---

Here is LaBe2Cl after structural relaxation from Alexandria. Energies are from GGA-PBE. Values from VASP.

- distance to the lowest polymorph of the same formula (eV per atom) = 0.702
- symmetry = Cmmm
- M_tot (μB/atom) = 0.00

```
&SYSTEM
  ibrav = 0, nat = 4, ntyp = 3
/
ATOMIC_SPECIES
La 138.91 La.upf
Be 9.01 Be.upf
Cl 35.45 Cl.upf
ATOMIC_POSITIONS angstrom
La 0.000 0.000 0.000
Be 1.675 0.000 2.494
Be 1.675 0.000 5.972
Cl 0.000 0.000 4.233
CELL_PARAMETERS angstrom
1.675 -2.785 0.000
1.675 2.785 0.000
0.000 0.000 8.466
```

---

Here is LaBe2Cl after structural relaxation from Alexandria. Energies are from GGA-PBE. Values from VASP.

- distance to the lowest polymorph of the same formula (eV per atom) = 0.536
- symmetry = Cmmm
- M_tot (μB/atom) = 0.00

```
&SYSTEM
  ibrav = 0, nat = 4, ntyp = 3
/
ATOMIC_SPECIES
La 138.91 La.upf
Be 9.01 Be.upf
Cl 35.45 Cl.upf
ATOMIC_POSITIONS angstrom
La 0.000 0.000 0.000
Be 1.350 2.107 1.983
Be 1.350 -2.107 1.983
Cl 2.701 0.000 0.000
CELL_PARAMETERS angstrom
2.701 -4.214 0.000
2.701 4.214 0.000
0.000 0.000 3.966
```

---

Here is LaBeCl2 after structural relaxation from Alexandria. Energies are from GGA-PBE. Values from VASP.

- distance to the lowest polymorph of the same formula (eV per atom) = 0.256
- symmetry = P4/mmm
- M_tot (μB/atom) = 0.00

```
&SYSTEM
  ibrav = 0, nat = 4, ntyp = 3
/
ATOMIC_SPECIES
La 138.91 La.upf
Be 9.01 Be.upf
Cl 35.45 Cl.upf
ATOMIC_POSITIONS angstrom
La 0.000 0.000 0.000
Be 2.248 2.248 0.000
Cl 0.000 2.248 2.107
Cl 2.248 0.000 2.107
CELL_PARAMETERS angstrom
4.495 0.000 0.000
0.000 4.495 0.000
0.000 0.000 4.214
```

---

Here is LaBeCl3 after structural relaxation from Alexandria. Energies are from GGA-PBE. Values from VASP.

- distance to the lowest polymorph of the same formula (eV per atom) = 0.195
- symmetry = Pm-3m
- M_tot (μB/atom) = 0.00

```
&SYSTEM
  ibrav = 0, nat = 5, ntyp = 3
/
ATOMIC_SPECIES
La 138.91 La.upf
Be 9.01 Be.upf
Cl 35.45 Cl.upf
ATOMIC_POSITIONS angstrom
La 0.000 0.000 0.000
Be 2.315 2.315 2.315
Cl 0.000 2.315 2.315
Cl 2.315 0.000 2.315
Cl 2.315 2.315 0.000
CELL_PARAMETERS angstrom
4.631 0.000 0.000
0.000 4.631 0.000
0.000 0.000 4.631
```